Version 1
! PBE TiNbH4, optimized geometry; values from VASP
! N(E_F) = 2.4 states/eV/f.u.
&SYSTEM
  ibrav = 0, nat = 12, ntyp = 3
/
ATOMIC_SPECIES
Ti 47.87 Ti.upf
Nb 92.91 Nb.upf
H 1.01 H.upf
CELL_PARAMETERS angstrom
3.577 -3.367 0.000
3.577 3.367 0.000
-3.573 0.000 3.665
ATOMIC_POSITIONS crystal
Ti 0.124 0.876 0.750
Ti 0.876 0.124 0.250
Nb 0.373 0.627 0.250
Nb 0.627 0.373 0.750
H 0.016 0.254 0.743
H 0.232 0.494 0.483
H 0.254 0.016 0.243
H 0.494 0.232 0.983
H 0.506 0.768 0.017
H 0.746 0.984 0.757
H 0.768 0.506 0.517
H 0.984 0.746 0.257

***

Version 2
! PBE TiNbH4, optimized geometry; values from VASP
! N(E_F) = 2.3 states/eV/f.u.
&SYSTEM
  ibrav = 0, nat = 12, ntyp = 3
/
ATOMIC_SPECIES
Ti 47.87 Ti.upf
Nb 92.91 Nb.upf
H 1.01 H.upf
CELL_PARAMETERS angstrom
-2.237 2.237 4.503
2.237 -2.237 4.503
2.237 2.237 -4.503
ATOMIC_POSITIONS crystal
Ti 0.375 0.625 0.750
Ti 0.625 0.375 0.250
Nb 0.125 0.875 0.250
Nb 0.875 0.125 0.750
H 0.000 0.258 0.258
H 0.000 0.742 0.742
H 0.258 0.000 0.758
H 0.258 0.500 0.258
H 0.500 0.258 0.758
H 0.500 0.742 0.242
H 0.742 0.000 0.242
H 0.742 0.500 0.742

***

Energies relative to the minimum, eV/atom: version 1 0.116; version 2 0.000

***

Version 1
! PBE TiNb2H2, optimized geometry; values from VASP
! N(E_F) = 5.1 states/eV/f.u.
&SYSTEM
  ibrav = 0, nat = 10, ntyp = 3
/
ATOMIC_SPECIES
Ti 47.87 Ti.upf
Nb 92.91 Nb.upf
H 1.01 H.upf
CELL_PARAMETERS angstrom
6.440 0.000 0.000
0.000 6.440 0.000
0.000 0.000 2.872
ATOMIC_POSITIONS crystal
Ti 0.000 0.000 0.000
Ti 0.500 0.500 0.000
Nb 0.159 0.341 0.500
Nb 0.341 0.841 0.500
Nb 0.659 0.159 0.500
Nb 0.841 0.659 0.500
H 0.177 0.677 0.000
H 0.323 0.177 0.000
H 0.677 0.823 0.000
H 0.823 0.323 0.000

***

Version 2
! PBE TiNb2H2, optimized geometry; values from VASP
! N(E_F) = 1.3 states/eV/f.u.
&SYSTEM
  ibrav = 0, nat = 5, ntyp = 3
/
ATOMIC_SPECIES
Ti 47.87 Ti.upf
Nb 92.91 Nb.upf
H 1.01 H.upf
CELL_PARAMETERS angstrom
-1.907 1.907 4.607
1.907 -1.907 4.607
1.907 1.907 -4.607
ATOMIC_POSITIONS crystal
Ti 0.000 0.000 0.000
Nb 0.250 0.750 0.500
Nb 0.750 0.250 0.500
H 0.354 0.354 0.000
H 0.646 0.646 0.000

***

Version 3
! PBE TiNb2H2, optimized geometry; values from VASP
! N(E_F) = 3.0 states/eV/f.u.
&SYSTEM
  ibrav = 0, nat = 10, ntyp = 3
/
ATOMIC_SPECIES
Ti 47.87 Ti.upf
Nb 92.91 Nb.upf
H 1.01 H.upf
CELL_PARAMETERS angstrom
4.803 0.000 0.000
2.382 5.063 0.000
2.388 1.648 4.836
ATOMIC_POSITIONS crystal
Ti 0.156 0.403 0.241
Ti 0.844 0.597 0.759
Nb 0.164 0.920 0.745
Nb 0.498 0.762 0.251
Nb 0.502 0.238 0.749
Nb 0.836 0.080 0.255
H 0.170 0.773 0.129
H 0.474 0.382 0.372
H 0.526 0.618 0.628
H 0.830 0.227 0.871

***

Energies relative to the minimum, eV/atom: version 1 0.453; version 2 0.528; version 3 0.000

***

Version 1
! PBE Ti2NbTlH, optimized geometry; values from VASP
! N(E_F) = 6.3 states/eV/f.u.
&SYSTEM
  ibrav = 0, nat = 5, ntyp = 4
/
ATOMIC_SPECIES
Ti 47.87 Ti.upf
Nb 92.91 Nb.upf
Tl 204.38 Tl.upf
H 1.01 H.upf
CELL_PARAMETERS angstrom
5.040 0.000 0.000
0.000 5.040 0.000
0.000 0.000 3.536
ATOMIC_POSITIONS crystal
Ti 0.000 0.500 0.000
Ti 0.500 0.000 0.000
Nb 0.000 0.000 0.000
Tl 0.500 0.500 0.500
H 0.000 0.000 0.500

***

Version 2
! PBE Ti2NbTlH, optimized geometry; values from VASP
! N(E_F) = 4.7 states/eV/f.u.
&SYSTEM
  ibrav = 0, nat = 5, ntyp = 4
/
ATOMIC_SPECIES
Ti 47.87 Ti.upf
Nb 92.91 Nb.upf
Tl 204.38 Tl.upf
H 1.01 H.upf
CELL_PARAMETERS angstrom
4.384 0.000 0.000
0.000 4.384 0.000
0.000 0.000 3.893
ATOMIC_POSITIONS crystal
Ti 0.000 0.500 0.000
Ti 0.500 0.000 0.000
Nb 0.000 0.000 0.500
Tl 0.500 0.500 0.500
H 0.000 0.000 0.000

***

Energies relative to the minimum, eV/atom: version 1 0.808; version 2 0.000

***

Version 1
! PBE Ti2NbHW, optimized geometry; values from VASP
! N(E_F) = 6.7 states/eV/f.u.
&SYSTEM
  ibrav = 0, nat = 5, ntyp = 4
/
ATOMIC_SPECIES
Ti 47.87 Ti.upf
Nb 92.91 Nb.upf
H 1.01 H.upf
W 183.84 W.upf
CELL_PARAMETERS angstrom
3.912 0.000 0.000
0.000 3.912 0.000
0.000 0.000 4.584
ATOMIC_POSITIONS crystal
Ti 0.000 0.500 0.000
Ti 0.500 0.000 0.000
Nb 0.000 0.000 0.500
H 0.500 0.500 0.000
W 0.500 0.500 0.500

***

Version 2
! PBE Ti2NbHW, optimized geometry; values from VASP
! N(E_F) = 6.2 states/eV/f.u.
&SYSTEM
  ibrav = 0, nat = 5, ntyp = 4
/
ATOMIC_SPECIES
Ti 47.87 Ti.upf
Nb 92.91 Nb.upf
H 1.01 H.upf
W 183.84 W.upf
CELL_PARAMETERS angstrom
3.880 0.000 0.000
0.000 3.880 0.000
0.000 0.000 4.648
ATOMIC_POSITIONS crystal
Ti 0.000 0.500 0.000
Ti 0.500 0.000 0.000
Nb 0.000 0.000 0.500
H 0.000 0.000 0.000
W 0.500 0.500 0.500

***

Energies relative to the minimum, eV/atom: version 1 0.038; version 2 0.000

***

Version 1
! PBE Ti2NbZnH, optimized geometry; values from VASP
! N(E_F) = 4.2 states/eV/f.u.
&SYSTEM
  ibrav = 0, nat = 5, ntyp = 4
/
ATOMIC_SPECIES
Ti 47.87 Ti.upf
Nb 92.91 Nb.upf
Zn 65.41 Zn.upf
H 1.01 H.upf
CELL_PARAMETERS angstrom
4.099 0.000 0.000
0.000 4.099 0.000
0.000 0.000 4.042
ATOMIC_POSITIONS crystal
Ti 0.000 0.500 0.000
Ti 0.500 0.000 0.000
Nb 0.000 0.000 0.500
Zn 0.500 0.500 0.500
H 0.000 0.000 0.000

***

Version 2
! PBE Ti2NbZnH, optimized geometry; values from VASP
! N(E_F) = 4.5 states/eV/f.u.
&SYSTEM
  ibrav = 0, nat = 5, ntyp = 4
/
ATOMIC_SPECIES
Ti 47.87 Ti.upf
Nb 92.91 Nb.upf
Zn 65.41 Zn.upf
H 1.01 H.upf
CELL_PARAMETERS angstrom
4.048 0.000 0.000
0.000 4.048 0.000
0.000 0.000 4.128
ATOMIC_POSITIONS crystal
Ti 0.000 0.500 0.000
Ti 0.500 0.000 0.000
Nb 0.000 0.000 0.500
Zn 0.500 0.500 0.500
H 0.500 0.500 0.000

***

Energies relative to the minimum, eV/atom: version 1 0.000; version 2 0.113

***

Version 1
! PBE ZrTi2NbH, optimized geometry; values from VASP
! N(E_F) = 6.7 states/eV/f.u.
&SYSTEM
  ibrav = 0, nat = 5, ntyp = 4
/
ATOMIC_SPECIES
Zr 91.22 Zr.upf
Ti 47.87 Ti.upf
Nb 92.91 Nb.upf
H 1.01 H.upf
CELL_PARAMETERS angstrom
4.107 0.000 0.000
0.000 4.107 0.000
0.000 0.000 4.582
ATOMIC_POSITIONS crystal
Zr 0.000 0.000 0.000
Ti 0.000 0.500 0.500
Ti 0.500 0.000 0.500
Nb 0.500 0.500 0.000
H 0.500 0.500 0.500

***

Version 2
! PBE ZrTi2NbH, optimized geometry; values from VASP
! N(E_F) = 6.9 states/eV/f.u.
&SYSTEM
  ibrav = 0, nat = 5, ntyp = 4
/
ATOMIC_SPECIES
Zr 91.22 Zr.upf
Ti 47.87 Ti.upf
Nb 92.91 Nb.upf
H 1.01 H.upf
CELL_PARAMETERS angstrom
4.048 0.000 0.000
0.000 4.048 0.000
0.000 0.000 4.713
ATOMIC_POSITIONS crystal
Zr 0.000 0.000 0.000
Ti 0.000 0.500 0.500
Ti 0.500 0.000 0.500
Nb 0.500 0.500 0.000
H 0.000 0.000 0.500

***

Energies relative to the minimum, eV/atom: version 1 0.016; version 2 0.000

***

Version 1
! PBE Zr2TiNbH, optimized geometry; values from VASP
! N(E_F) = 8.2 states/eV/f.u.
&SYSTEM
  ibrav = 0, nat = 5, ntyp = 4
/
ATOMIC_SPECIES
Zr 91.22 Zr.upf
Ti 47.87 Ti.upf
Nb 92.91 Nb.upf
H 1.01 H.upf
CELL_PARAMETERS angstrom
4.707 0.000 0.000
0.000 4.707 0.000
0.000 0.000 3.734
ATOMIC_POSITIONS crystal
Zr 0.000 0.500 0.000
Zr 0.500 0.000 0.000
Ti 0.000 0.000 0.500
Nb 0.500 0.500 0.500
H 0.000 0.000 0.000

***

Version 2
! PBE Zr2TiNbH, optimized geometry; values from VASP
! N(E_F) = 7.9 states/eV/f.u.
&SYSTEM
  ibrav = 0, nat = 5, ntyp = 4
/
ATOMIC_SPECIES
Zr 91.22 Zr.upf
Ti 47.87 Ti.upf
Nb 92.91 Nb.upf
H 1.01 H.upf
CELL_PARAMETERS angstrom
4.697 0.000 0.000
0.000 4.697 0.000
0.000 0.000 3.806
ATOMIC_POSITIONS crystal
Zr 0.000 0.500 0.000
Zr 0.500 0.000 0.000
Ti 0.000 0.000 0.500
Nb 0.500 0.500 0.500
H 0.500 0.500 0.000

***

Energies relative to the minimum, eV/atom: version 1 0.000; version 2 0.017

***

Version 1
! PBE NbTlH3, optimized geometry; values from VASP
! N(E_F) = 2.3 states/eV/f.u.
&SYSTEM
  ibrav = 0, nat = 5, ntyp = 3
/
ATOMIC_SPECIES
Nb 92.91 Nb.upf
Tl 204.38 Tl.upf
H 1.01 H.upf
CELL_PARAMETERS angstrom
3.806 0.000 0.000
0.000 3.806 0.000
0.000 0.000 3.806
ATOMIC_POSITIONS crystal
Nb 0.000 0.000 0.000
Tl 0.500 0.500 0.500
H 0.000 0.000 0.500
H 0.000 0.500 0.000
H 0.500 0.000 0.000

***

Version 2
! PBE NbTlH3, optimized geometry; values from VASP
! N(E_F) = 2.0 states/eV/f.u.
&SYSTEM
  ibrav = 0, nat = 5, ntyp = 3
/
ATOMIC_SPECIES
Nb 92.91 Nb.upf
Tl 204.38 Tl.upf
H 1.01 H.upf
CELL_PARAMETERS angstrom
3.859 0.000 0.000
0.000 3.859 0.000
0.000 0.000 3.859
ATOMIC_POSITIONS crystal
Nb 0.000 0.000 0.000
Tl 0.500 0.500 0.500
H 0.000 0.500 0.500
H 0.500 0.000 0.500
H 0.500 0.500 0.000

***

Energies relative to the minimum, eV/atom: version 1 0.000; version 2 0.974

***

Version 1
! PBE Nb2VH4, optimized geometry; values from VASP
! N(E_F) = 4.0 states/eV/f.u.
&SYSTEM
  ibrav = 0, nat = 7, ntyp = 3
/
ATOMIC_SPECIES
Nb 92.91 Nb.upf
V 50.94 V.upf
H 1.01 H.upf
CELL_PARAMETERS angstrom
-1.656 1.656 5.413
1.656 -1.656 5.413
1.656 1.656 -5.413
ATOMIC_POSITIONS crystal
Nb 0.156 0.156 0.000
Nb 0.844 0.844 0.000
V 0.500 0.500 0.000
H 0.000 0.500 0.500
H 0.335 0.335 0.000
H 0.500 0.000 0.500
H 0.665 0.665 0.000

***

Version 2
! PBE Nb2VH4, optimized geometry; values from VASP
! N(E_F) = 3.0 states/eV/f.u.
&SYSTEM
  ibrav = 0, nat = 14, ntyp = 3
/
ATOMIC_SPECIES
Nb 92.91 Nb.upf
V 50.94 V.upf
H 1.01 H.upf
CELL_PARAMETERS angstrom
5.259 0.000 0.000
0.000 3.886 0.000
-0.960 0.000 6.193
ATOMIC_POSITIONS crystal
Nb 0.118 0.250 0.359
Nb 0.257 0.250 0.917
Nb 0.743 0.750 0.083
Nb 0.882 0.750 0.641
V 0.383 0.750 0.624
V 0.617 0.250 0.376
H 0.066 0.750 0.937
H 0.102 0.750 0.399
H 0.409 0.510 0.178
H 0.409 0.990 0.178
H 0.591 0.010 0.822
H 0.591 0.490 0.822
H 0.898 0.250 0.601
H 0.934 0.250 0.063

***

Energies relative to the minimum, eV/atom: version 1 0.000; version 2 0.040

***

Version 1
! PBE NbV2H, optimized geometry; values from VASP
! N(E_F) = 5.7 states/eV/f.u.
&SYSTEM
  ibrav = 0, nat = 4, ntyp = 3
/
ATOMIC_SPECIES
Nb 92.91 Nb.upf
V 50.94 V.upf
H 1.01 H.upf
CELL_PARAMETERS angstrom
0.000 2.993 2.993
2.993 0.000 2.993
2.993 2.993 0.000
ATOMIC_POSITIONS crystal
Nb 0.000 0.000 0.000
V 0.250 0.250 0.250
V 0.750 0.750 0.750
H 0.500 0.500 0.500

***

Version 2
! PBE NbV2H, optimized geometry; values from VASP
! N(E_F) = 1.6 states/eV/f.u.
&SYSTEM
  ibrav = 0, nat = 8, ntyp = 3
/
ATOMIC_SPECIES
Nb 92.91 Nb.upf
V 50.94 V.upf
H 1.01 H.upf
CELL_PARAMETERS angstrom
0.000 3.710 3.710
3.710 0.000 3.710
3.710 3.710 0.000
ATOMIC_POSITIONS crystal
Nb 0.125 0.125 0.125
Nb 0.875 0.875 0.875
V 0.000 0.500 0.500
V 0.500 0.000 0.500
V 0.500 0.500 0.000
V 0.500 0.500 0.500
H 0.375 0.375 0.375
H 0.625 0.625 0.625

***

Energies relative to the minimum, eV/atom: version 1 0.836; version 2 0.000

***

Version 1
! PBE NbV2H, optimized geometry; values from VASP
! N(E_F) = 3.9 states/eV/f.u.
&SYSTEM
  ibrav = 0, nat = 4, ntyp = 3
/
ATOMIC_SPECIES
Nb 92.91 Nb.upf
V 50.94 V.upf
H 1.01 H.upf
CELL_PARAMETERS angstrom
1.377 0.795 7.557
-1.377 0.795 7.557
0.000 -1.590 7.557
ATOMIC_POSITIONS crystal
Nb 0.000 0.000 0.000
V 0.113 0.113 0.113
V 0.887 0.887 0.887
H 0.500 0.500 0.500

***

Version 2
! PBE NbV2H, optimized geometry; values from VASP
! N(E_F) = 3.5 states/eV/f.u.
&SYSTEM
  ibrav = 0, nat = 4, ntyp = 3
/
ATOMIC_SPECIES
Nb 92.91 Nb.upf
V 50.94 V.upf
H 1.01 H.upf
CELL_PARAMETERS angstrom
2.617 0.000 0.000
0.000 2.617 0.000
0.000 0.000 7.122
ATOMIC_POSITIONS crystal
Nb 0.000 0.000 0.000
V 0.500 0.500 0.327
V 0.500 0.500 0.673
H 0.000 0.000 0.500

***

Energies relative to the minimum, eV/atom: version 1 0.019; version 2 0.000

***

Version 1
! PBE NbVH2, optimized geometry; values from VASP
! N(E_F) = 3.2 states/eV/f.u.
&SYSTEM
  ibrav = 0, nat = 4, ntyp = 3
/
ATOMIC_SPECIES
Nb 92.91 Nb.upf
V 50.94 V.upf
H 1.01 H.upf
CELL_PARAMETERS angstrom
1.430 0.825 5.190
-1.430 0.825 5.190
0.000 -1.651 5.190
ATOMIC_POSITIONS crystal
Nb 0.000 0.000 0.000
V 0.171 0.171 0.171
H 0.571 0.571 0.571
H 0.768 0.768 0.768

***

Version 2
! PBE NbVH2, optimized geometry; values from VASP
! N(E_F) = 2.0 states/eV/f.u.
&SYSTEM
  ibrav = 0, nat = 4, ntyp = 3
/
ATOMIC_SPECIES
Nb 92.91 Nb.upf
V 50.94 V.upf
H 1.01 H.upf
CELL_PARAMETERS angstrom
1.524 0.880 4.441
-1.524 0.880 4.441
0.000 -1.760 4.441
ATOMIC_POSITIONS crystal
Nb 0.000 0.000 0.000
V 0.500 0.500 0.500
H 0.242 0.242 0.242
H 0.758 0.758 0.758

***

Energies relative to the minimum, eV/atom: version 1 0.209; version 2 0.000